Here is a geometry-optimized Hg5Ru3 structure from the Alexandria database. Energies are from PBE.

POSCAR file:
```
Hg5Ru3
1.0
4.206 -4.202 0.000
4.206 4.202 0.000
0.000 0.000 4.181
Hg Ru
5 3
direct
0.500 0.000 0.000
0.000 0.500 0.000
0.738 0.738 0.500
0.000 0.000 0.000
0.262 0.262 0.500
0.745 0.255 0.500
0.500 0.500 0.000
0.255 0.745 0.500
```

Values from the calculation:
VASP energy: -3.08 eV/atom
Total moment: 3.06 μB per formula unit
Energy of formation: 0.5833 eV/atom
Volume: 148 Å³/cell
Calculated density: 14.674 g cm⁻³
Energy above the lowest structure with this stoichiometry: 0.00 eV per formula unit

Here is a geometry-optimized DyYTc4 structure from the Alexandria database. Energies are from PBE.

POSCAR file:
```
DyYTc4
1.0
-0.063 2.502 4.794
2.849 -2.007 4.136
4.410 2.592 1.756
Tc Y Dy
4 1 1
direct
0.625 0.625 0.625
0.125 0.625 0.625
0.625 0.125 0.625
0.625 0.625 0.125
0.250 0.250 0.250
0.000 0.000 0.000
```

Values from the calculation:
VASP energy: -8.89 eV/atom
Total moment: 0.00 μB per formula unit
Energy of formation: -0.1391 eV/atom
Volume: 112 Å³/cell
Calculated density: 9.551 g cm⁻³

Here is a geometry-optimized MnCrTc structure from the Alexandria database. Energies are from PBE.

POSCAR file:
```
MnCrTc
1.0
-2.247 -3.387 -2.799
-0.135 -4.923 0.317
-0.460 4.276 2.420
Mn Tc Cr
1 1 1
direct
0.652 0.652 0.000
0.336 0.336 0.000
0.013 0.013 0.000
```

Values from the calculation:
VASP energy: -9.62 eV/atom
Total moment: 0.00 μB per formula unit
Energy of formation: 0.1045 eV/atom
Volume: 37 Å³/cell
Calculated density: 9.157 g cm⁻³
Energy above the lowest structure with this stoichiometry: 0.41 eV per formula unit

Here is a geometry-optimized Y3OsPd2 structure from the Alexandria database. Energies are from PBE.

POSCAR file:
```
Y3OsPd2
1.0
-2.412 -1.539 3.982
5.168 -2.645 5.127
0.515 6.437 2.801
Y Pd Os
6 4 2
direct
0.830 0.339 0.240
0.170 0.661 0.240
0.500 0.000 0.757
0.500 0.000 0.243
0.170 0.661 0.760
0.830 0.339 0.760
0.000 0.000 0.000
0.000 0.000 0.500
0.666 0.668 0.500
0.334 0.332 0.500
0.335 0.330 0.000
0.665 0.670 0.000
```

Values from the calculation:
VASP energy: -7.48 eV/atom
Total moment: 0.00 μB per formula unit
Energy of formation: -0.6482 eV/atom
Volume: 254 Å³/cell
Calculated density: 8.772 g cm⁻³

Here is a geometry-optimized TlCoTcRh2 structure from the Alexandria database. Energies are from PBE.

POSCAR file:
```
TlCoTcRh2
1.0
-4.128 -2.503 -0.962
2.630 -3.434 -2.350
0.497 -2.358 4.003
Tl Rh Tc Co
1 2 1 1
direct
0.000 0.000 0.000
0.500 0.000 0.000
0.000 0.500 0.000
0.500 0.500 0.500
0.000 0.000 0.500
```

Values from the calculation:
VASP energy: -4.88 eV/atom
Total moment: 6.43 μB per formula unit
Energy of formation: 2.0260 eV/atom
Volume: 113 Å³/cell
Calculated density: 8.319 g cm⁻³

Here is a geometry-optimized PuMgTi structure from the Alexandria database. Energies are from PBE.

POSCAR file:
```
PuMgTi
1.0
3.038 0.000 0.000
0.000 3.038 0.000
0.000 0.000 14.105
Ti Mg Pu
2 2 2
direct
0.500 0.000 0.065
0.000 0.500 0.935
0.500 0.000 0.415
0.000 0.500 0.585
0.500 0.000 0.768
0.000 0.500 0.232
```

Values from the calculation:
VASP energy: -7.83 eV/atom
Total moment: 5.61 μB per formula unit
Energy of formation: 0.1125 eV/atom
Volume: 130 Å³/cell
Calculated density: 8.065 g cm⁻³

Here is a geometry-optimized Ce8Ru2Rh3 structure from the Alexandria database. Energies are from PBE.

POSCAR file:
```
Ce8Ru2Rh3
1.0
5.382 0.000 -0.057
0.000 8.417 0.000
-2.158 -4.208 6.664
Ce Rh Ru
8 3 2
direct
0.505 0.825 0.235
0.005 0.116 0.232
0.995 0.884 0.768
0.495 0.590 0.765
0.495 0.175 0.765
0.966 0.674 0.349
0.034 0.326 0.651
0.505 0.410 0.235
0.000 0.676 0.000
0.500 0.000 0.000
0.000 0.324 0.000
0.491 0.786 0.572
0.509 0.214 0.428
```

Values from the calculation:
VASP energy: -7.16 eV/atom
Total moment: 0.00 μB per formula unit
Energy of formation: -0.3824 eV/atom
Volume: 301 Å³/cell
Calculated density: 9.007 g cm⁻³

Here is a geometry-optimized Cr2Mo2Br structure from the Alexandria database. Energies are from PBE.

POSCAR file:
```
Cr2Mo2Br
1.0
-5.865 -0.647 4.332
1.157 -7.211 0.490
1.744 0.445 2.428
Mo Cr Br
4 4 2
direct
0.857 0.357 0.500
0.357 0.143 0.500
0.643 0.857 0.500
0.143 0.643 0.500
0.134 0.366 0.000
0.366 0.866 0.000
0.866 0.634 0.000
0.634 0.134 0.000
0.500 0.500 0.000
0.000 0.000 0.000
```

Values from the calculation:
VASP energy: -7.75 eV/atom
Total moment: 1.10 μB per formula unit
Volume: 162 Å³/cell
Formation energy without anion corrections: 0.7648 eV per atom
Calculated density: 7.706 g cm⁻³
Energy above the lowest structure with this stoichiometry: 0.00 eV per formula unit

Here is a geometry-optimized Cs4RbNa structure from the Alexandria database. Energies are from PBE.

POSCAR file:
```
Cs4RbNa
1.0
7.895 0.000 0.000
-3.948 9.317 0.000
0.000 0.000 15.637
Rb Cs Na
2 8 2
direct
0.675 0.350 0.759
0.325 0.650 0.259
0.995 0.989 0.305
0.685 0.371 0.336
0.315 0.629 0.836
0.533 0.067 0.049
0.005 0.011 0.805
0.467 0.933 0.549
0.812 0.624 0.048
0.188 0.376 0.548
0.156 0.311 0.069
0.844 0.689 0.569
```

Values from the calculation:
VASP energy: -0.93 eV/atom
Total moment: 0.00 μB per formula unit
Energy of formation: 0.0214 eV/atom
Volume: 1150 Å³/cell
Calculated density: 1.848 g cm⁻³
Energy above the lowest structure with this stoichiometry: 0.00 eV per formula unit

Here is a geometry-optimized Ag2RuAu structure from the Alexandria database. Energies are from PBE.

POSCAR file:
```
Ag2RuAu
1.0
2.801 0.000 0.000
0.000 2.801 0.000
0.000 0.000 8.657
Ag Ru Au
2 1 1
direct
0.000 0.000 0.993
0.000 0.000 0.507
0.500 0.500 0.750
0.500 0.500 0.250
```

Values from the calculation:
VASP energy: -4.23 eV/atom
Total moment: 1.61 μB per formula unit
Energy of formation: 0.3376 eV/atom
Volume: 68 Å³/cell
Calculated density: 12.560 g cm⁻³
Energy above the lowest structure with this stoichiometry: 0.16 eV per formula unit

Here is a geometry-optimized RbBiB2Se structure from the Alexandria database. Energies are from PBE.

POSCAR file:
```
RbBiB2Se
1.0
-3.857 2.033 -1.579
-2.551 -0.644 5.404
1.659 4.138 1.276
Se Rb B Bi
1 1 2 1
direct
0.000 0.000 0.000
0.000 0.500 0.000
0.000 0.000 0.500
0.500 0.000 0.000
0.500 0.500 0.500
```

Values from the calculation:
VASP energy: -2.75 eV/atom
Total moment: 0.00 μB per formula unit
Volume: 129 Å³/cell
Formation energy without anion corrections: 1.5884 eV per atom
Calculated density: 5.076 g cm⁻³

Here is a geometry-optimized LaCrAs3 structure from the Alexandria database. Energies are from PBE.

POSCAR file:
```
LaCrAs3
1.0
4.781 0.000 0.000
0.000 4.781 0.000
0.000 0.000 4.781
As Cr La
3 1 1
direct
0.000 0.000 0.500
0.000 0.500 0.000
0.500 0.000 0.000
0.000 0.000 0.000
0.500 0.500 0.500
```

Values from the calculation:
VASP energy: -6.08 eV/atom
Total moment: 1.38 μB per formula unit
Energy of formation: -0.3781 eV/atom
Volume: 109 Å³/cell
Calculated density: 6.317 g cm⁻³

Here is a geometry-optimized TlHIO2 structure from the Alexandria database. Energies are from PBE.

POSCAR file:
```
TlHIO2
1.0
-3.469 -1.994 0.750
1.540 -1.358 3.515
-2.589 5.767 3.363
Tl I O H
1 1 2 1
direct
0.000 0.000 0.000
0.000 0.000 0.500
0.000 0.500 0.000
0.500 0.000 0.000
0.500 0.500 0.500
```

Values from the calculation:
VASP energy: -2.80 eV/atom
Total moment: 0.65 μB per formula unit
Volume: 119 Å³/cell
Calculated density: 5.098 g cm⁻³
Energy above the lowest structure with this stoichiometry: 0.00 eV per formula unit

Here is a geometry-optimized Pm2Zr2Te7 structure from the Alexandria database. Energies are from PBE.

POSCAR file:
```
Pm2Zr2Te7
1.0
-1.958 6.706 -3.169
-4.098 1.469 6.812
7.806 2.012 0.605
Te Zr Pm
7 2 2
direct
0.265 0.955 0.578
0.735 0.045 0.422
0.000 0.000 0.000
0.755 0.584 0.584
0.245 0.416 0.416
0.265 0.578 0.955
0.735 0.422 0.045
0.889 0.280 0.280
0.111 0.720 0.720
0.500 0.688 0.312
0.500 0.312 0.688
```

Values from the calculation:
VASP energy: -5.34 eV/atom
Total moment: 0.00 μB per formula unit
Volume: 461 Å³/cell
Formation energy without anion corrections: -0.9263 eV per atom
Calculated density: 4.921 g cm⁻³

Here is a geometry-optimized Be3SnHg structure from the Alexandria database. Energies are from PBE.

POSCAR file:
```
Be3SnHg
1.0
4.529 0.000 0.000
0.000 4.529 0.000
0.000 0.000 4.529
Hg Sn Be
1 1 3
direct
0.000 0.000 0.000
0.500 0.500 0.500
0.000 0.000 0.500
0.000 0.500 0.000
0.500 0.000 0.000
```

Values from the calculation:
VASP energy: -2.23 eV/atom
Total moment: 0.00 μB per formula unit
Energy of formation: 0.8682 eV/atom
Volume: 93 Å³/cell
Calculated density: 6.193 g cm⁻³
Energy above the lowest structure with this stoichiometry: 0.00 eV per formula unit

Here is a geometry-optimized TlCrWCl2 structure from the Alexandria database. Energies are from PBE.

POSCAR file:
```
TlCrWCl2
1.0
-0.315 4.050 -2.096
-0.883 -3.133 -5.921
-4.521 -0.002 0.675
Tl Cl Cr W
1 2 1 1
direct
0.000 0.500 0.000
0.000 0.000 0.500
0.500 0.000 0.000
0.000 0.000 0.000
0.500 0.500 0.500
```

Values from the calculation:
VASP energy: -4.83 eV/atom
Total moment: 8.65 μB per formula unit
Volume: 141 Å³/cell
Formation energy without anion corrections: 0.9020 eV per atom
Calculated density: 6.012 g cm⁻³

Here is a geometry-optimized SrCoCl structure from the Alexandria database. Energies are from PBE.

POSCAR file:
```
SrCoCl
1.0
-3.488 1.419 -1.259
0.929 -4.720 -1.626
-3.660 -2.216 7.644
Sr Cl Co
2 2 2
direct
0.654 0.782 0.885
0.640 0.753 0.426
0.119 0.712 0.176
0.368 0.208 0.941
0.960 0.392 0.616
0.362 0.197 0.662
```

Values from the calculation:
VASP energy: -4.32 eV/atom
Total moment: 1.36 μB per formula unit
Volume: 161 Å³/cell
Formation energy without anion corrections: -0.7708 eV per atom
Calculated density: 3.751 g cm⁻³

Here is a geometry-optimized Rb2GeBiSe structure from the Alexandria database. Energies are from PBE.

POSCAR file:
```
Rb2GeBiSe
1.0
7.001 0.000 0.000
0.000 4.857 0.000
0.000 0.000 7.001
Rb Ge Bi Se
2 1 1 1
direct
0.500 0.000 0.000
0.000 0.000 0.500
0.000 0.000 0.000
0.500 0.500 0.500
0.000 0.500 0.000
```

Values from the calculation:
VASP energy: -2.70 eV/atom
Total moment: 1.37 μB per formula unit
Volume: 238 Å³/cell
Formation energy without anion corrections: 0.0839 eV per atom
Calculated density: 3.707 g cm⁻³

Here is a geometry-optimized Li2CdFe structure from the Alexandria database. Energies are from PBE.

POSCAR file:
```
Li2CdFe
1.0
-4.782 0.804 0.701
-4.477 0.227 -1.978
-1.442 -4.757 0.860
Li Fe Cd
2 1 1
direct
0.753 0.753 0.759
0.996 0.996 0.998
0.249 0.249 0.256
0.502 0.502 0.487
```

Values from the calculation:
VASP energy: -3.11 eV/atom
Total moment: 2.69 μB per formula unit
Energy of formation: 0.1952 eV/atom
Volume: 65 Å³/cell
Calculated density: 4.681 g cm⁻³

Here is a geometry-optimized ErSc2Al structure from the Alexandria database. Energies are from PBE.

POSCAR file:
```
ErSc2Al
1.0
5.282 0.263 0.000
-0.536 5.261 0.000
0.000 0.000 6.597
Sc Er Al
4 2 2
direct
0.788 0.788 0.000
0.212 0.212 0.500
0.788 0.788 0.500
0.212 0.212 0.000
0.698 0.302 0.750
0.302 0.698 0.250
0.718 0.282 0.250
0.282 0.718 0.750
```

Values from the calculation:
VASP energy: -5.37 eV/atom
Total moment: 0.73 μB per formula unit
Energy of formation: -0.1252 eV/atom
Volume: 184 Å³/cell
Calculated density: 5.122 g cm⁻³
Energy above the lowest structure with this stoichiometry: 0.42 eV per formula unit

Here is a geometry-optimized SmDy2Sc4 structure from the Alexandria database. Energies are from PBE.

POSCAR file:
```
SmDy2Sc4
1.0
-2.550 3.283 5.009
-2.826 2.728 -5.191
-0.967 -6.229 1.626
Dy Sc Sm
2 4 1
direct
0.500 0.750 0.250
0.500 0.250 0.750
0.000 0.692 0.308
0.000 0.308 0.692
0.385 0.692 0.692
0.615 0.308 0.308
0.000 0.000 0.000
```

Values from the calculation:
VASP energy: -5.37 eV/atom
Total moment: 2.96 μB per formula unit
Energy of formation: 0.2396 eV/atom
Volume: 204 Å³/cell
Calculated density: 5.330 g cm⁻³
Energy above the lowest structure with this stoichiometry: 0.48 eV per formula unit

Here is a geometry-optimized RbAsS3 structure from the Alexandria database. Energies are from PBE.

POSCAR file:
```
RbAsS3
1.0
-3.688 3.290 -0.063
-3.200 -3.608 -1.082
-0.766 -0.766 4.822
As S Rb
1 3 1
direct
0.000 0.000 0.000
0.000 0.500 0.000
0.000 0.000 0.500
0.500 0.000 0.000
0.500 0.500 0.500
```

Values from the calculation:
VASP energy: -3.69 eV/atom
Total moment: 0.00 μB per formula unit
Volume: 121 Å³/cell
Formation energy without anion corrections: -0.0934 eV per atom
Calculated density: 3.530 g cm⁻³

Here is a geometry-optimized CaAs2SeF structure from the Alexandria database. Energies are from PBE.

POSCAR file:
```
CaAs2SeF
1.0
-3.988 -1.531 -1.044
1.067 -3.923 1.676
-1.883 1.575 4.884
Se F As Ca
1 1 2 1
direct
0.000 0.000 0.500
0.000 0.000 0.000
0.000 0.500 0.000
0.500 0.000 0.000
0.500 0.500 0.500
```

Values from the calculation:
VASP energy: -3.83 eV/atom
Total moment: 0.00 μB per formula unit
Volume: 106 Å³/cell
Formation energy without anion corrections: -0.5006 eV per atom
Calculated density: 4.523 g cm⁻³
Energy above the lowest structure with this stoichiometry: 0.00 eV per formula unit

Here is a geometry-optimized TbNdDy2 structure from the Alexandria database. Energies are from PBE.

POSCAR file:
```
TbNdDy2
1.0
-2.534 -3.502 2.621
1.637 -3.575 -3.195
4.067 -0.753 2.926
Nd Dy Tb
1 2 1
direct
0.500 0.000 0.000
0.000 0.000 0.500
0.000 0.500 0.000
0.500 0.500 0.500
```

Values from the calculation:
VASP energy: -4.63 eV/atom
Total moment: 0.00 μB per formula unit
Energy of formation: 0.0196 eV/atom
Volume: 130 Å³/cell
Calculated density: 8.038 g cm⁻³
Energy above the lowest structure with this stoichiometry: 0.09 eV per formula unit

Here is a geometry-optimized Sc5TlPd4 structure from the Alexandria database. Energies are from PBE.

POSCAR file:
```
Sc5TlPd4
1.0
-2.010 -2.482 1.031
-0.983 -0.519 -3.166
12.697 -11.161 -2.112
Pd Sc Tl
4 5 1
direct
0.000 0.000 0.595
0.000 0.000 0.405
0.000 0.000 0.212
0.000 0.000 0.788
0.500 0.500 0.119
0.500 0.500 0.500
0.500 0.500 0.881
0.500 0.500 0.691
0.500 0.500 0.309
0.000 0.000 0.000
```

Values from the calculation:
VASP energy: -6.24 eV/atom
Total moment: 0.00 μB per formula unit
Energy of formation: -0.7649 eV/atom
Volume: 192 Å³/cell
Calculated density: 7.399 g cm⁻³

Here is a geometry-optimized GaNi3Ir structure from the Alexandria database. Energies are from PBE.

POSCAR file:
```
GaNi3Ir
1.0
4.213 0.000 0.000
0.000 4.213 0.000
0.000 0.000 4.213
Ni Ir Ga
3 1 1
direct
0.500 0.000 0.000
0.000 0.500 0.000
0.000 0.000 0.500
0.500 0.500 0.500
0.000 0.000 0.000
```

Values from the calculation:
VASP energy: -4.81 eV/atom
Total moment: 0.00 μB per formula unit
Energy of formation: 1.0352 eV/atom
Volume: 75 Å³/cell
Calculated density: 9.724 g cm⁻³
Energy above the lowest structure with this stoichiometry: 6.03 eV per formula unit